Record 1
An optimized crystal structure of ZrAlV, computed with GGA-PBE.

Properties
Magnetic moment in μB/cell: 0.000
Energy of formation from the pure elements in eV/atom: -0.289

Unit cell a=5.3211 b=5.3211 c=5.3211 alpha=123.65 beta=118.80 gamma=87.95
Last column: nearest neighbours and their distance in Å.
Atoms (fractional coordinates):
Zr 0.3671 0.1171 0.2500  6 Al 2.99-3.23, 6 V 3.08-3.15, 4 Zr 3.23-3.25
Zr 0.6329 0.8829 0.7500  6 Al 2.99-3.23, 6 V 3.08-3.15, 4 Zr 3.23-3.25
Al 0.0000 0.5000 0.5000  4 V 2.66, 2 Al 2.71
Al 0.5000 0.5000 0.0000  4 V 2.66, 2 Al 2.71
V 0.0000 0.0000 0.5000  2 V 2.51, 4 Al 2.66
V 0.0000 0.5000 0.0000  2 V 2.51, 4 Al 2.66

Record 2
An optimized crystal structure of InPbCl, computed with GGA-PBE.

Properties
Magnetic moment in μB/cell: 0.000
Uncorrected formation energy in meV per atom: -287.7

Unit cell a=5.9151 b=5.9151 c=5.9151 alpha=143.63 beta=136.90 gamma=57.63
Last column: nearest neighbours and their distance in Å.
Atoms (fractional coordinates):
In 0.0000 0.0000 0.0000  5 Pb 3.23-3.45, 5 Cl 3.30-3.52
Pb 0.6882 0.6882 0.0000  5 In 3.23-3.45, 5 Cl 3.25-3.62
Cl 0.3392 0.3392 0.0000  5 Pb 3.25-3.62, 5 In 3.30-3.52

Record 3
An optimized crystal structure of Rb2NiPdCl, computed with GGA-PBE.

Properties
Magnetic moment in μB/cell: 0.178
Uncorrected formation energy in meV per atom: -14.6

Unit cell a=6.3907 b=6.3907 c=4.1156 alpha=90.00 beta=90.00 gamma=90.00
Last column: nearest neighbours and their distance in Å.
Atoms (fractional coordinates):
Rb 0.0000 0.5000 0.0000  2 Cl 3.20
Rb 0.5000 0.0000 0.0000  2 Cl 3.20
Ni 0.0000 0.0000 0.5000  2 Cl 2.06
Pd 0.5000 0.5000 0.5000  8 Rb 3.80, 2 Pd 4.12
Cl 0.0000 0.0000 0.0000  2 Ni 2.06